# 1
PBE SrInCo3, optimized geometry; energy relative to the lowest polymorph listed for this composition = 945.9 meV/atom; E_form = 1.91 eV/atom
1.0
4.737 0.000 0.000
0.000 4.737 0.000
0.000 0.000 4.737
Sr In Co
1 1 3
direct
0.000 0.000 0.000
0.500 0.500 0.500
0.000 0.000 0.500
0.000 0.500 0.000
0.500 0.000 0.000

=====

# 2
PBE Zr2ZnFe, optimized geometry; E_form = 0.10 eV/atom
1.0
0.000 3.224 3.224
3.224 0.000 3.224
3.224 3.224 0.000
Zr Zn Fe
2 1 1
direct
0.000 0.000 0.000
0.250 0.250 0.250
0.750 0.750 0.750
0.500 0.500 0.500

=====

no.,M_tot (μB per cell),E_tot (hartree per atom)
1,3.10,-0.1188
2,0.00,-0.2427